# GGA+U KLiV2O6, relaxed
data_KLiV2O6
_space_group_name_H-M_alt 'C 1 2/c 1'
_space_group_IT_number 15
_cell_length_a 10.515
_cell_length_b 11.287
_cell_length_c 5.984
_cell_angle_alpha 90.00
_cell_angle_beta 111.70
_cell_angle_gamma 90.00
loop_
_space_group_symop_operation_xyz
'x,y,z'
'-x,-y,-z'
'-x,y,-z+1/2'
'x,-y,z+1/2'
'x+1/2,y+1/2,z'
'-x+1/2,-y+1/2,-z'
'-x+1/2,y+1/2,-z+1/2'
'x+1/2,-y+1/2,z+1/2'
loop_
_atom_site_label
_atom_site_fract_x
_atom_site_fract_y
_atom_site_fract_z
K1 0.000 0.113 0.250
Li1 0.000 0.221 0.750
V1 0.189 0.419 0.171
O1 0.103 0.294 0.067
O2 0.140 0.106 0.726
O3 0.151 0.475 0.427
# **DOS(E_F)**: 0.00 states/eV per cell
# **Magnetization**: 0.00 μB/f.u.
# **DFT total energy**: -0.249 hartree per atom

---

# GGA+U Ac3Be2NiO8, relaxed
data_Ac3Be2NiO8
_space_group_name_H-M_alt 'P -3 m 1'
_space_group_IT_number 164
_space_group_name_Hall '-P 3 2"'
_cell_length_a 5.4268
_cell_length_b 5.4268
_cell_length_c 6.8999
_cell_angle_alpha 90.00
_cell_angle_beta 90.00
_cell_angle_gamma 120.00
loop_
_atom_site_label
_atom_site_fract_x
_atom_site_fract_y
_atom_site_fract_z
Ac1 0.0000 0.0000 0.0000
Ac2 0.3333 0.6667 0.6605
Be1 0.3333 0.6667 0.2208
Ni1 0.0000 0.0000 0.5000
O1 0.1688 0.3375 0.3186
O2 0.3333 0.6667 0.9949
# **Magnetization**: 2.97 μB/f.u.
# **DFT total energy**: -0.260 hartree per atom